1.
Compound: Ca2PtAu3
Source: the Alexandria database
Functional: PBE-GGA
Structure: optimized geometry

Output
The crystal system is orthorhombic. Its symmetry is No. 25. The formation energy comes out at -680 meV/atom. As for the calculated total energy: -3.9931 eV/atom.

```
Ca2PtAu3
1.0
-0.871 -2.630 2.315
3.554 -2.410 -1.400
4.771 3.610 5.897
Au Pt Ca
3 1 2
Direct
0.500 0.500 0.656 Au
0.500 0.000 0.840 Au
0.500 0.000 0.164 Au
0.500 0.500 0.339 Pt
0.000 0.500 0.019 Ca
0.000 0.000 0.482 Ca
```


2.
Compound: Ca3PtAu3
Source: the Alexandria database
Functional: PBE-GGA
Structure: optimized geometry

Output
The crystal system is monoclinic. Its symmetry is No. 12. The formation energy comes out at -777 meV/atom. As for the calculated total energy: -3.9028 eV/atom.

```
Ca3PtAu3
1.0
-1.411 0.048 -3.884
3.221 -3.379 -3.410
-8.876 -12.462 0.874
Pt Ca Au
2 6 6
Direct
0.780 0.070 0.369 Pt
0.220 0.930 0.631 Pt
0.262 0.236 0.239 Ca
0.476 0.661 0.388 Ca
0.738 0.764 0.761 Ca
0.524 0.339 0.612 Ca
0.392 0.293 0.923 Ca
0.608 0.707 0.077 Ca
0.863 0.739 0.535 Au
0.114 0.848 0.925 Au
0.886 0.152 0.075 Au
0.011 0.204 0.774 Au
0.989 0.796 0.226 Au
0.137 0.261 0.465 Au
```


3.
Compound: Ca8Pt5Au
Source: the Alexandria database
Functional: PBE-GGA
Structure: optimized geometry

Output
The crystal system is tetragonal. Its symmetry is No. 82. The formation energy comes out at -811 meV/atom. As for the calculated total energy: -4.3463 eV/atom.

```
Ca8Pt5Au
1.0
-0.512 6.498 4.009
-3.044 1.050 -6.942
-3.802 -5.563 3.628
Pt Ca Au
5 8 1
Direct
0.008 0.377 0.128 Pt
0.500 0.000 0.500 Pt
0.751 0.623 0.631 Pt
0.872 0.880 0.249 Pt
0.369 0.120 0.992 Pt
0.755 0.246 0.367 Ca
0.267 0.245 0.369 Ca
0.121 0.754 0.508 Ca
0.124 0.755 0.022 Ca
0.633 0.388 0.879 Ca
0.631 0.898 0.876 Ca
0.978 0.102 0.733 Ca
0.492 0.612 0.245 Ca
0.250 0.500 0.750 Au
```


4.
Compound: CaPuPtAu
Source: the Alexandria database
Functional: PBE-GGA
Structure: optimized geometry

Output
The crystal system is orthorhombic. Its symmetry is No. 38. The formation energy comes out at -743 meV/atom. The calculation puts the polymorph energy (0 for the lowest one) at 0 kJ/mol of formula units. As for the calculated total energy: -7.1557 eV/atom.

```
CaPuPtAu
1.0
3.910 0.000 0.000
0.000 4.352 0.000
-1.955 0.000 5.650
Pt Au Ca Pu
1 1 1 1
Direct
0.408 0.000 0.816 Pt
0.584 0.500 0.169 Au
0.143 0.000 0.287 Ca
0.864 0.500 0.729 Pu
```


5.
Compound: CaPuPtAu
Source: the Alexandria database
Functional: PBE-GGA
Structure: optimized geometry

Output
The crystal system is cubic. Its symmetry is No. 216. The formation energy comes out at -662 meV/atom. The calculation puts the polymorph energy (0 for the lowest one) at 31 kJ/mol of formula units. As for the calculated total energy: -7.0752 eV/atom.

```
CaPuPtAu
1.0
-2.357 3.418 -2.880
-5.048 0.076 -0.210
-2.562 3.785 2.155
Pu Ca Pt Au
1 1 1 1
Direct
0.500 0.500 0.500 Pu
0.000 0.000 0.000 Ca
0.250 0.250 0.250 Pt
0.750 0.750 0.750 Au
```


6.
Compound: Ca2Sb3Pt4Au
Source: the Alexandria database
Functional: PBE-GGA
Structure: optimized geometry

Output
The crystal system is tetragonal. The value obtained for the uncorrected formation energy is -665 meV per atom. Its symmetry is No. 115. As for the calculated total energy: -5.0464 eV/atom.

```
Ca2Sb3Pt4Au
1.0
-4.035 1.691 -1.449
0.990 -1.325 -4.302
-4.597 -9.395 1.835
Ca Pt Sb Au
2 4 3 1
Direct
0.000 0.500 0.745 Ca
0.500 0.000 0.255 Ca
0.000 0.000 0.000 Pt
0.000 0.500 0.367 Pt
0.500 0.500 0.000 Pt
0.500 0.000 0.633 Pt
0.000 0.500 0.127 Sb
0.000 0.000 0.500 Sb
0.500 0.000 0.873 Sb
0.500 0.500 0.500 Au
```


7.
Compound: CaScPtAu
Source: the Alexandria database
Functional: PBE-GGA
Structure: optimized geometry

Output
The crystal system is cubic. Its symmetry is No. 216. The formation energy comes out at -864 meV/atom. As for the calculated total energy: -5.2765 eV/atom.

```
CaScPtAu
1.0
4.867 0.000 0.000
2.433 4.215 0.000
2.433 1.405 3.974
Pt Ca Sc Au
1 1 1 1
Direct
0.750 0.750 0.750 Pt
0.000 0.000 0.000 Ca
0.500 0.500 0.500 Sc
0.250 0.250 0.250 Au
```


8.
Compound: Ca2Si3Pt12Au
Source: the Alexandria database
Functional: PBE-GGA
Structure: optimized geometry

Output
The crystal system is trigonal. The value obtained for the uncorrected formation energy is -331 meV per atom. Its symmetry is No. 166. As for the calculated total energy: -5.6663 eV/atom.

```
Ca2Si3Pt12Au
1.0
7.610 -0.354 -0.251
3.451 6.792 -0.251
3.451 2.009 6.493
Pt Ca Si Au
12 2 3 1
Direct
0.861 0.861 0.389 Pt
0.139 0.611 0.139 Pt
0.646 0.646 0.100 Pt
0.354 0.354 0.900 Pt
0.646 0.100 0.646 Pt
0.611 0.139 0.139 Pt
0.100 0.646 0.646 Pt
0.389 0.861 0.861 Pt
0.861 0.389 0.861 Pt
0.139 0.139 0.611 Pt
0.900 0.354 0.354 Pt
0.354 0.900 0.354 Pt
0.603 0.603 0.603 Ca
0.397 0.397 0.397 Ca
0.500 0.000 0.000 Si
0.000 0.500 0.000 Si
0.000 0.000 0.500 Si
0.000 0.000 0.000 Au
```


9.
Compound: Ca2Sn3Pt4Au
Source: the Alexandria database
Functional: PBE-GGA
Structure: optimized geometry

Output
The crystal system is tetragonal. Its symmetry is No. 115. The formation energy comes out at -691 meV/atom. As for the calculated total energy: -5.0359 eV/atom.

```
Ca2Sn3Pt4Au
1.0
-1.486 -0.028 -3.910
-2.493 -3.216 0.971
-8.956 7.954 3.347
Ca Pt Sn Au
2 4 3 1
Direct
0.000 0.500 0.725 Ca
0.500 0.000 0.275 Ca
0.500 0.500 0.000 Pt
0.000 0.000 0.000 Pt
0.000 0.500 0.345 Pt
0.500 0.000 0.655 Pt
0.000 0.000 0.500 Sn
0.500 0.000 0.864 Sn
0.000 0.500 0.136 Sn
0.500 0.500 0.500 Au
```


10.
Compound: CaTbPtAu
Source: the Alexandria database
Functional: PBE-GGA
Structure: optimized geometry

Output
The crystal system is cubic. Its symmetry is No. 216. The formation energy comes out at -939 meV/atom. The calculation puts the polymorph energy (0 for the lowest one) at 12 kJ/mol of formula units. As for the calculated total energy: -4.9269 eV/atom.

```
CaTbPtAu
1.0
5.021 0.000 0.000
2.510 4.348 0.000
2.510 1.449 4.099
Au Ca Pt Tb
1 1 1 1
Direct
0.250 0.250 0.250 Au
0.500 0.500 0.500 Ca
0.750 0.750 0.750 Pt
0.000 0.000 0.000 Tb
```


11.
Compound: CaTbPtAu
Source: the Alexandria database
Functional: PBE-GGA
Structure: optimized geometry

Output
The crystal system is orthorhombic. Its symmetry is No. 38. The formation energy comes out at -972 meV/atom. The calculation puts the polymorph energy (0 for the lowest one) at 0 kJ/mol of formula units. As for the calculated total energy: -4.9591 eV/atom.

```
CaTbPtAu
1.0
3.879 0.000 0.000
0.000 4.422 0.000
-1.939 0.000 5.543
Au Pt Tb Ca
1 1 1 1
Direct
0.583 0.500 0.167 Au
0.410 0.000 0.821 Pt
0.864 0.500 0.727 Tb
0.143 0.000 0.285 Ca
```


12.
Compound: CaThPtAu
Source: the Alexandria database
Functional: PBE-GGA
Structure: optimized geometry

Output
The crystal system is cubic. Its symmetry is No. 216. The formation energy comes out at -858 meV/atom. The calculation puts the polymorph energy (0 for the lowest one) at 40 kJ/mol of formula units. As for the calculated total energy: -5.5431 eV/atom.

```
CaThPtAu
1.0
-4.871 -1.094 1.136
-1.430 -4.863 0.725
-1.229 -1.635 4.694
Ca Au Th Pt
1 1 1 1
Direct
0.500 0.500 0.500 Ca
0.250 0.250 0.250 Au
0.000 0.000 0.000 Th
0.750 0.750 0.750 Pt
```


What size of the total moment values result from the calculations? In sequence: 0.000 0.000 0.000 5.617 5.739 0.000 0.000 0.000 0.000 0.000 0.000 0.000 μB/f.u..